Density functional theory data (PBE) for crystalline Ti6Sn2Pd at its relaxed geometry.

Computed properties:
Total magnetization: 0.00 μB/cell
DOS(E_F): 8.762 states/eV/f.u.
Space-group type: P-62m, No. 189
Calculated formation energy: -311 meV/atom

Lattice parameters (Å, degrees): 7.610 7.610 3.264 90.00 90.00 120.00
Fractional coordinates of all 9 atoms:
Ti (0.000, 0.390, 0.000)
Ti (0.000, 0.739, 0.500)
Ti (0.261, 0.261, 0.500)
Ti (0.390, 0.000, 0.000)
Ti (0.610, 0.610, 0.000)
Ti (0.739, 0.000, 0.500)
Sn (0.333, 0.667, 0.500)
Sn (0.667, 0.333, 0.500)
Pd (0.000, 0.000, 0.000)